{
  "formula": "DyCu4Si3",
  "functional": "PBE-GGA",
  "state": "relaxed",
  "density_kg_m3": 6857,
  "space_group": "P4/mmm (123)",
  "raw_formation_energy_ev_per_atom": -0.36,
  "final_energy_ev_per_atom": -5.018,
  "lattice_angstrom": [[4.0172, 0.0000, 0.0000], [0.0000, 4.0172, 0.0000], [0.0000, 0.0000, 7.5171]],
  "species": ["Dy", "Cu", "Cu", "Cu", "Cu", "Si", "Si", "Si"],
  "frac_coords": [[0.0000, 0.0000, 0.0000], [0.0000, 0.5000, 0.3242], [0.0000, 0.5000, 0.6758], [0.5000, 0.0000, 0.3242], [0.5000, 0.0000, 0.6758], [0.0000, 0.0000, 0.5000], [0.5000, 0.5000, 0.1545], [0.5000, 0.5000, 0.8455]]
}